--- 1 ---
Computed, not measured: crystalline ThInSn at its relaxed geometry at the GGA-PBE level of DFT.

Cell and atoms, written as POSCAR:
```
ThInSn
1.0
5.2338 0.0000 0.0000
-2.6169 4.5326 0.0000
0.0000 0.0000 3.4814
Th In Sn
1 1 1
direct
0.0000 0.0000 0.0000
0.3333 0.6667 0.4981
0.6667 0.3333 0.5022
```

Properties
- Space-group type: P3m1, No. 156
- DOS at the Fermi energy: 3.16 states/eV/f.u.
- Total moment: 0.000 μB/atom
- Density: 9361 kg/m3
- V: 27.530 A^3/atom

***

--- 2 ---
Computed, not measured: crystalline ThInSn at its relaxed geometry at the GGA-PBE level of DFT.

Cell and atoms, written as POSCAR:
```
ThInSn
1.0
2.3038 -8.2926 0.0000
2.3038 8.2926 0.0000
0.0000 0.0000 4.4533
Th In Sn
2 2 2
direct
0.0935 0.9065 0.7500
0.9065 0.0935 0.2500
0.2517 0.7483 0.2500
0.7483 0.2517 0.7500
0.4300 0.5700 0.7500
0.5700 0.4300 0.2500
```

Properties
- Space-group type: Cmcm, No. 63
- DOS at the Fermi energy: 1.99 states/eV/f.u.
- Total moment: 0.000 μB/atom
- Density: 9087 kg/m3
- V: 28.359 A^3/atom

***

Stability, lowest: 1